1.
Below is Pm4Nd2SmSc after structural relaxation, with properties calculated at the PBE level.

```
Pm4Nd2SmSc
1.0
5.101 0.000 0.000
0.000 5.101 0.000
0.000 0.000 10.203
Pm Nd Sm Sc
4 2 1 1
Direct
0.000 0.500 0.244 Pm
0.000 0.500 0.756 Pm
0.500 0.000 0.244 Pm
0.500 0.000 0.756 Pm
0.000 0.000 0.000 Nd
0.500 0.500 0.500 Nd
0.000 0.000 0.500 Sm
0.500 0.500 0.000 Sc
```

Summary:
SG: P4/mmm, No. 123
Crystal system: tetragonal

---

2.
Below is Pm6Nd2Sm3Sc after structural relaxation, with properties calculated at the PBE level.

```
Pm6Nd2Sm3Sc
1.0
3.135 -5.429 0.000
3.135 5.429 0.000
-2.099 0.000 11.821
Pm Nd Sm Sc
6 2 3 1
Direct
0.082 0.411 0.748 Pm
0.247 0.247 0.251 Pm
0.411 0.082 0.748 Pm
0.589 0.918 0.252 Pm
0.753 0.753 0.749 Pm
0.918 0.589 0.252 Pm
0.333 0.667 0.500 Nd
0.667 0.333 0.500 Nd
0.166 0.834 0.000 Sm
0.500 0.500 0.000 Sm
0.834 0.166 0.000 Sm
0.000 0.000 0.500 Sc
```

Summary:
SG: C2/m, No. 12
Crystal system: monoclinic

---

3.
Below is PmNd2Sm4Sc after structural relaxation, with properties calculated at the PBE level.

```
PmNd2Sm4Sc
1.0
5.086 0.000 0.000
0.000 5.086 0.000
0.000 0.000 10.193
Pm Nd Sm Sc
1 2 4 1
Direct
0.000 0.000 0.000 Pm
0.000 0.000 0.500 Nd
0.500 0.500 0.000 Nd
0.000 0.500 0.256 Sm
0.000 0.500 0.744 Sm
0.500 0.000 0.256 Sm
0.500 0.000 0.744 Sm
0.500 0.500 0.500 Sc
```

Summary:
SG: P4/mmm, No. 123
Crystal system: tetragonal

---

Record-wise ΔH_f (0 K) values, in eV/atom: 0.026 0.025 0.030
Record-wise V values, in Å³/cell: 265.5 402.4 263.6
Record-wise E_tot values, in eV for the cell shown: -39.379 -58.225 -39.256